First-principles (GGA-PBE) data for an optimized crystal structure of BaPtW2, as listed in Alexandria via LeMat-Bulk.

## Properties
* symmetry: R-3m
* VASP energy: -7.46 eV per atom

Cell lengths 10.880, 10.880, 10.880 Å; angles 15.59, 15.59, 15.59 degrees
Atoms (fractional coordinates):
1 Ba 0.000 0.000 0.000
2 Pt 0.500 0.500 0.500
3 W 0.235 0.235 0.235
4 W 0.765 0.765 0.765



First-principles (GGA-PBE) data for an optimized crystal structure of NpPaNb2, as listed in Alexandria via LeMat-Bulk.

## Properties
* symmetry: P4/mmm
* VASP energy: -10.19 eV per atom

Cell lengths 5.348, 5.348, 3.039 Å; angles 90.00, 90.00, 90.00 degrees
Atoms (fractional coordinates):
1 Np 0.000 0.000 0.000
2 Pa 0.500 0.500 0.000
3 Nb 0.000 0.500 0.500
4 Nb 0.500 0.000 0.500



First-principles (GGA-PBE) data for an optimized crystal structure of CeTlAg, as listed in Alexandria via LeMat-Bulk.

## Properties
* symmetry: P-6m2
* VASP energy: -3.94 eV per atom

Cell lengths 5.067, 5.067, 3.368 Å; angles 90.00, 90.00, 120.00 degrees
Atoms (fractional coordinates):
1 Ce 0.000 0.000 0.000
2 Tl 0.333 0.667 0.500
3 Ag 0.667 0.333 0.500